## CsNi2RuCl8 (GGA-PBE)

Data for an optimized crystal structure of CsNi2RuCl8.

Crystal system: trigonal
Uncorrected formation energy, eV per atom: -0.7433
DOS(E_F), states/eV per atom: 0.7163

Cell and atoms, written as POSCAR:
```
CsNi2RuCl8
1.0
6.201 0.000 0.000
3.100 5.370 0.000
3.100 1.790 10.007
Cs Ni Ru Cl
1 2 1 8
direct
0.500 0.500 0.500
0.267 0.267 0.198
0.733 0.733 0.802
0.000 0.000 0.000
0.194 0.194 0.417
0.646 0.266 0.139
0.806 0.806 0.583
0.949 0.646 0.139
0.051 0.354 0.861
0.266 0.949 0.139
0.734 0.051 0.861
0.354 0.734 0.861
```